(1)
A plane-wave DFT calculation with PBE-GGA was carried out for a relaxed Ti2Tl2BiO7 crystal.

Results
calculated total energy: -162.80 eV per cell

a = 5.5408 Å, b = 5.4794 Å, c = 11.1113 Å
α = 90.00°, β = 99.08°, γ = 90.00°
Last column: nearest neighbours and their distance in Å.
Space group C2/m (No. 12)
One atom of each set of equivalent atoms:
Ti: 0.0717 0.0000 0.1844 (multiplicity 4)  6 O 1.91-2.02
Tl: 0.1753 0.5000 0.3886 (multiplicity 4)  1 O 2.45
Bi: 0.0000 0.5000 0.0000 (multiplicity 2)  12 O 2.64-2.77
O: 0.0000 0.0000 0.0000 (multiplicity 2)  2 Ti 2.02
O: 0.1048 0.0000 0.3602 (multiplicity 4)  1 Ti 1.93
O: 0.2020 0.2467 0.8349 (multiplicity 8)  2 Ti 1.91-2.02

(2)
A plane-wave DFT calculation with PBE-GGA was carried out for a relaxed UCuAu4 crystal.

Results
calculated total energy: -112.60 eV per cell

a = 7.8142 Å, b = 7.8142 Å, c = 7.8142 Å
α = 90.00°, β = 90.00°, γ = 90.00°
Last column: nearest neighbours and their distance in Å.
Space group F-43m (No. 216)
One atom of each set of equivalent atoms:
U: 0.0000 0.0000 0.0000 (multiplicity 4)  12 Au 3.24, 4 Cu 3.38
Cu: 0.2500 0.2500 0.7500 (multiplicity 4)  12 Au 3.24, 4 U 3.38
Au: 0.1243 0.1243 0.3757 (multiplicity 16)  6 Au 2.75-2.78

(3)
A plane-wave DFT calculation with PBE-GGA was carried out for a relaxed PmZnHg crystal.

Results
calculated total energy: -28.07 eV per cell

a = 3.3859 Å, b = 23.5420 Å, c = 3.6696 Å
α = 90.00°, β = 90.00°, γ = 90.00°
Last column: nearest neighbours and their distance in Å.
Space group Cmcm (No. 63)
One atom of each set of equivalent atoms:
Pm: 0.0000 0.1394 0.2500 (multiplicity 4)  5 Zn 3.17-3.26, 4 Hg 3.28, 2 Pm 3.39
Zn: 0.0000 0.2780 0.2500 (multiplicity 4)  4 Zn 2.82
Hg: 0.0000 0.4511 0.2500 (multiplicity 4)  2 Hg 2.94, 4 Pm 3.28